CsCaW3: relaxed, PBE.

The structure in POSCAR format:
```
CsCaW3
1.0
5.061 0.000 0.000
0.000 5.061 0.000
0.000 0.000 5.061
Cs Ca W
1 1 3
direct
0.000 0.000 0.000
0.500 0.500 0.500
0.000 0.500 0.500
0.500 0.000 0.500
0.500 0.500 0.000
```

Summary:
Energy relative to the elements (eV per atom): 3.622
Offset from the most stable computed form (eV per atom): 0.201
VASP energy (eV per atom): -4.72
Symmetry: Pm-3m (221)